No. 1
Entry from the Alexandria database: a relaxed Li2GaSi2Ni5 crystal (PBE).

## Properties
DFT total energy (eV per atom): -5.019
SG: P4/mbm
Formation energy without anion corrections (meV/atom): -359

a = 3.4258 Å, b = 8.5012 Å, c = 8.5012 Å
α = 90.00°, β = 90.00°, γ = 90.00°
Fractional positions:
Ni1 0.5000 0.2959 0.5730
Ni2 0.5000 0.0730 0.7959
Ni3 0.5000 0.5000 0.0000
Ni4 0.5000 0.2041 0.0730
Ni5 0.5000 0.0000 0.5000
Ni6 0.5000 0.5730 0.7041
Ni7 0.5000 0.9270 0.2041
Ni8 0.5000 0.7959 0.9270
Ni9 0.5000 0.4270 0.2959
Ni10 0.5000 0.7041 0.4270
Li1 0.0000 0.6714 0.1714
Li2 0.0000 0.8286 0.6714
Li3 0.0000 0.1714 0.3286
Li4 0.0000 0.3286 0.8286
Si1 0.0000 0.8740 0.3740
Si2 0.0000 0.6260 0.8740
Si3 0.0000 0.1260 0.6260
Si4 0.0000 0.3740 0.1260
Ga1 0.0000 0.5000 0.5000
Ga2 0.0000 0.0000 0.0000


No. 2
Entry from the Alexandria database: a relaxed Ta2CrCu crystal (PBE).

## Properties
DFT total energy (eV per atom): -9.160
SG: Cm
Formation energy from the elements (meV/atom): 196

a = 5.1617 Å, b = 5.1617 Å, c = 4.3368 Å
α = 65.06°, β = 65.06°, γ = 36.15°
Fractional positions:
Cr1 0.5035 0.5035 0.4964
Ta1 0.0002 0.0002 0.0000
Ta2 0.2313 0.2313 0.2686
Cu1 0.7650 0.7650 0.7350


No. 3
Entry from the Alexandria database: a relaxed Cs3MgU2O9 crystal (PBE).

## Properties
DFT total energy (eV per atom): -7.218
SG: P-3m1
Formation energy without anion corrections (meV/atom): -2461

a = 6.1808 Å, b = 6.1808 Å, c = 7.5477 Å
α = 90.00°, β = 90.00°, γ = 120.00°
Fractional positions:
Cs1 0.6667 0.3333 0.3391
Cs2 0.3333 0.6667 0.6609
Cs3 0.0000 0.0000 0.0000
O1 0.0000 0.5000 0.0000
O2 0.1758 0.8242 0.3227
O3 0.1758 0.3516 0.3227
O4 0.5000 0.5000 0.0000
O5 0.5000 0.0000 0.0000
O6 0.8242 0.1758 0.6773
O7 0.3516 0.1758 0.6773
O8 0.8242 0.6484 0.6773
O9 0.6484 0.8242 0.3227
U1 0.3333 0.6667 0.1714
U2 0.6667 0.3333 0.8286
Mg1 0.0000 0.0000 0.5000


No. 4
Entry from the Alexandria database: a relaxed NdEuIr crystal (PBE).

## Properties
DFT total energy (eV per atom): -8.342
SG: I4mm
Formation energy from the elements (meV/atom): -375
Energy above the most stable polymorph in this dataset (kJ/mol of atoms): 7.90

a = 3.5692 Å, b = 3.5692 Å, c = 7.2347 Å
α = 104.28°, β = 104.28°, γ = 90.00°
Each line ends with the local moment (μB).
Fractional positions:
Nd1 0.2880 0.2880 0.5761  0.03
Eu1 0.0383 0.0383 0.0767  6.83
Ir1 0.6736 0.6736 0.3472  -0.10


No. 5
Entry from the Alexandria database: a relaxed MnFeMo2 crystal (PBE).

## Properties
DFT total energy (eV per atom): -9.623
SG: Cmmm
Formation energy from the elements (meV/atom): 200
Energy above the most stable polymorph in this dataset (kJ/mol of atoms): 8.83

a = 4.5208 Å, b = 4.5208 Å, c = 2.7444 Å
α = 90.00°, β = 90.00°, γ = 105.89°
Each line ends with the local moment (μB).
Fractional positions:
Mo1 0.5000 0.5000 0.0000  -0.23
Mo2 0.0000 0.0000 0.0000  -0.23
Mn1 0.0000 0.5000 0.5000  1.57
Fe1 0.5000 0.0000 0.5000  0.92


No. 6
Entry from the Alexandria database: a relaxed LiCu5Pt crystal (PBE).

## Properties
DFT total energy (eV per atom): -4.013
SG: Imm2
Formation energy from the elements (meV/atom): 49
Energy above the most stable polymorph in this dataset (kJ/mol of atoms): 7.32

a = 8.5776 Å, b = 4.7727 Å, c = 5.4473 Å
α = 115.98°, β = 141.94°, γ = 90.00°
Fractional positions:
Cu1 0.5006 0.2438 0.0000
Cu2 0.5404 0.7543 0.5086
Cu3 0.0429 0.5000 0.0000
Cu4 0.5006 0.7562 0.0000
Cu5 0.0318 0.2457 0.4914
Li1 0.1514 0.0000 0.0000
Pt1 0.7630 0.5000 0.0000


No. 7
Entry from the Alexandria database: a relaxed Cd2Ga3Hg8 crystal (PBE).

## Properties
DFT total energy (eV per atom): -0.971
SG: P2/m
Formation energy from the elements (meV/atom): 54

a = 3.9348 Å, b = 10.0056 Å, c = 9.0645 Å
α = 114.00°, β = 90.00°, γ = 90.00°
Fractional positions:
Hg1 0.5000 0.8768 0.3352
Hg2 0.0000 0.1394 0.3225
Hg3 0.5000 0.3412 0.1819
Hg4 0.0000 0.8606 0.6775
Hg5 0.0000 0.4084 0.8195
Hg6 0.0000 0.5916 0.1805
Hg7 0.5000 0.6588 0.8181
Hg8 0.5000 0.1232 0.6648
Ga1 0.0000 0.1682 0.9326
Ga2 0.5000 0.0000 0.0000
Ga3 0.0000 0.8318 0.0674
Cd1 0.5000 0.6355 0.4666
Cd2 0.5000 0.3645 0.5334


No. 8
Entry from the Alexandria database: a relaxed TlSbAu2 crystal (PBE).

## Properties
DFT total energy (eV per atom): -3.272
SG: R-3m
Energy above the most stable polymorph in this dataset (kJ/mol of atoms): 5.50
Formation energy without anion corrections (meV/atom): -11

a = 6.7308 Å, b = 6.7308 Å, c = 6.7308 Å
α = 37.46°, β = 37.46°, γ = 37.46°
Fractional positions:
Au1 0.9891 0.9891 0.9891
Au2 0.5109 0.5109 0.5109
Sb1 0.2500 0.2500 0.2500
Tl1 0.7500 0.7500 0.7500


No. 9
Entry from the Alexandria database: a relaxed AcCe2Ru2 crystal (PBE).

## Properties
DFT total energy (eV per atom): -7.141
SG: P-1
Formation energy from the elements (meV/atom): -235
Energy above the most stable polymorph in this dataset (kJ/mol of atoms): 6.82

a = 4.3789 Å, b = 8.7170 Å, c = 7.6177 Å
α = 98.34°, β = 73.51°, γ = 75.23°
Fractional positions:
Ru1 0.3530 0.3688 0.9242
Ru2 0.5900 0.3217 0.4731
Ru3 0.6470 0.6312 0.0758
Ru4 0.4100 0.6783 0.5269
Ac1 0.6400 0.0050 0.7156
Ac2 0.3600 0.9950 0.2844
Ce1 0.7983 0.2901 0.1227
Ce2 0.9612 0.3835 0.6790
Ce3 0.0388 0.6165 0.3210
Ce4 0.2017 0.7099 0.8773


No. 10
Entry from the Alexandria database: a relaxed BHIr crystal (PBE).

## Properties
DFT total energy (eV per atom): -6.055
SG: Fmmm
Energy above the most stable polymorph in this dataset (kJ/mol of atoms): 0.00

a = 4.2128 Å, b = 4.6012 Å, c = 4.2128 Å
α = 68.53°, β = 78.43°, γ = 111.47°
Fractional positions:
Ir1 0.4951 0.0000 0.0967
Ir2 0.9033 0.0000 0.5049
H1 0.8615 0.3245 0.1385
H2 0.5369 0.6755 0.4631
B1 0.3646 0.0000 0.6354
B2 0.0338 0.0000 0.9662


No. 11
Entry from the Alexandria database: a relaxed CsBaNaSr crystal (PBE).

## Properties
DFT total energy (eV per atom): -1.274
SG: F-43m
Formation energy from the elements (meV/atom): 171

a = 6.9967 Å, b = 6.9967 Å, c = 6.9967 Å
α = 60.00°, β = 60.00°, γ = 60.00°
Fractional positions:
Cs1 0.5000 0.5000 0.5000
Na1 0.0000 0.0000 0.0000
Sr1 0.2500 0.2500 0.2500
Ba1 0.7500 0.7500 0.7500


No. 12
Entry from the Alexandria database: a relaxed IrBr crystal (PBE).

## Properties
DFT total energy (eV per atom): -4.201
SG: Pmmm
Energy above the most stable polymorph in this dataset (kJ/mol of atoms): 77.08
Formation energy without anion corrections (meV/atom): 1066

a = 2.9286 Å, b = 3.0278 Å, c = 4.2549 Å
α = 90.00°, β = 90.00°, γ = 90.00°
Fractional positions:
Ir1 0.0000 0.0000 0.5000
Br1 0.0000 0.5000 0.0000


No. 13
Entry from the Alexandria database: a relaxed Fe3CoNi12 crystal (PBE).

## Properties
DFT total energy (eV per atom): -6.427
SG: P4/mmm
Formation energy from the elements (meV/atom): -60

a = 3.5387 Å, b = 3.5387 Å, c = 14.1591 Å
α = 90.00°, β = 90.00°, γ = 90.00°
Each line ends with the local moment (μB).
Fractional positions:
Fe1 0.0000 0.0000 0.2494  2.92
Fe2 0.0000 0.0000 0.7506  2.92
Fe3 0.0000 0.0000 0.5000  2.93
Ni1 0.5000 0.0000 0.1240  0.73
Ni2 0.5000 0.5000 0.0000  0.74
Ni3 0.0000 0.5000 0.1240  0.73
Ni4 0.5000 0.5000 0.5000  0.72
Ni5 0.5000 0.0000 0.8760  0.73
Ni6 0.5000 0.5000 0.2494  0.72
Ni7 0.0000 0.5000 0.6253  0.72
Ni8 0.0000 0.5000 0.8760  0.73
Ni9 0.0000 0.5000 0.3747  0.72
Ni10 0.5000 0.5000 0.7506  0.72
Ni11 0.5000 0.0000 0.3747  0.72
Ni12 0.5000 0.0000 0.6253  0.72
Co1 0.0000 0.0000 0.0000  1.81


No. 14
Entry from the Alexandria database: a relaxed ScIn6Pd12 crystal (PBE).

## Properties
DFT total energy (eV per atom): -4.827
SG: R-3
Formation energy from the elements (meV/atom): -350

a = 7.2462 Å, b = 7.2462 Å, c = 7.2462 Å
α = 102.96°, β = 102.96°, γ = 102.96°
Fractional positions:
In1 0.4483 0.1822 0.1612
In2 0.8388 0.5517 0.8178
In3 0.5517 0.8178 0.8388
In4 0.1612 0.4483 0.1822
In5 0.8178 0.8388 0.5517
In6 0.1822 0.1612 0.4483
Pd1 0.5940 0.1882 0.5737
Pd2 0.7496 0.2506 0.9900
Pd3 0.7494 0.0100 0.2504
Pd4 0.8118 0.4263 0.4060
Pd5 0.4263 0.4060 0.8118
Pd6 0.2506 0.9900 0.7496
Pd7 0.0100 0.2504 0.7494
Pd8 0.1882 0.5737 0.5940
Pd9 0.2504 0.7494 0.0100
Pd10 0.9900 0.7496 0.2506
Pd11 0.4060 0.8118 0.4263
Pd12 0.5737 0.5940 0.1882
Sc1 0.0000 0.0000 0.0000


No. 15
Entry from the Alexandria database: a relaxed CsTcSN2 crystal (PBE).

## Properties
DFT total energy (eV per atom): -5.863
SG: P4/mmm
Energy above the most stable polymorph in this dataset (kJ/mol of atoms): 0.00
Formation energy without anion corrections (meV/atom): 537

a = 4.0846 Å, b = 4.0846 Å, c = 4.9926 Å
α = 90.00°, β = 90.00°, γ = 90.00°
Fractional positions:
Tc1 0.0000 0.0000 0.0000
Cs1 0.5000 0.5000 0.5000
S1 0.0000 0.0000 0.5000
N1 0.0000 0.5000 0.0000
N2 0.5000 0.0000 0.0000


No. 16
Entry from the Alexandria database: a relaxed Be2ZnCu crystal (PBE).

## Properties
DFT total energy (eV per atom): -3.136
SG: Immm
Formation energy from the elements (meV/atom): 70

a = 4.5341 Å, b = 4.5341 Å, c = 4.5341 Å
α = 143.67°, β = 128.36°, γ = 64.77°
Fractional positions:
Zn1 0.2500 0.7500 0.5000
Be1 0.5073 0.5073 0.0000
Be2 0.9927 0.9927 0.0000
Cu1 0.7500 0.2500 0.5000


No. 17
Entry from the Alexandria database: a relaxed Ac8Ge2N3 crystal (PBE).

## Properties
DFT total energy (eV per atom): -5.780
SG: C2/m
Formation energy without anion corrections (meV/atom): -620

a = 7.1183 Å, b = 7.7953 Å, c = 8.5452 Å
α = 117.14°, β = 103.81°, γ = 90.00°
Each line ends with the local moment (μB).
Fractional positions:
Ac1 0.6040 0.1402 0.7967  0.06
Ac2 0.1003 0.8982 0.7964  0.04
Ac3 0.9393 0.6056 0.2112  0.09
Ac4 0.3960 0.8598 0.2033  0.06
Ac5 0.3960 0.3435 0.2033  0.06
Ac6 0.0607 0.3944 0.7888  0.09
Ac7 0.6040 0.6565 0.7967  0.06
Ac8 0.8997 0.1018 0.2036  0.04
N1 0.5000 0.0000 0.0000  0.00
N2 0.0000 0.2358 0.0000  0.00
N3 0.0000 0.7642 0.0000  0.00
Ge1 0.6878 0.7463 0.4926  0.01
Ge2 0.3122 0.2537 0.5074  0.01


No. 18
Entry from the Alexandria database: a relaxed HfSbPd3 crystal (PBE).

## Properties
DFT total energy (eV per atom): -6.462
SG: Pmmn
Energy above the most stable polymorph in this dataset (kJ/mol of atoms): 0.00
Formation energy without anion corrections (meV/atom): -531

a = 4.3757 Å, b = 5.4541 Å, c = 7.8608 Å
α = 90.00°, β = 90.00°, γ = 90.00°
Fractional positions:
Pd1 0.5000 0.7568 0.7201
Pd2 0.5000 0.2432 0.7201
Pd3 0.0000 0.2568 0.2799
Pd4 0.5000 0.5000 0.0634
Pd5 0.0000 0.7432 0.2799
Pd6 0.0000 0.0000 0.9366
Sb1 0.0000 0.5000 0.8455
Sb2 0.5000 0.0000 0.1545
Hf1 0.5000 0.5000 0.4289
Hf2 0.0000 0.0000 0.5711


No. 19
Entry from the Alexandria database: a relaxed K2MoSe crystal (PBE).

## Properties
DFT total energy (eV per atom): -3.351
SG: R-3m
Energy above the most stable polymorph in this dataset (kJ/mol of atoms): 52.61
Formation energy without anion corrections (meV/atom): 777

a = 11.6187 Å, b = 11.6187 Å, c = 11.6187 Å
α = 15.58°, β = 15.58°, γ = 15.58°
Each line ends with the local moment (μB).
Fractional positions:
Se1 0.7500 0.7500 0.7500  0.02
K1 0.4932 0.4932 0.4932  0.00
K2 0.0068 0.0068 0.0068  0.00
Mo1 0.2500 0.2500 0.2500  0.41


No. 20
Entry from the Alexandria database: a relaxed UHgO3 crystal (PBE).

## Properties
DFT total energy (eV per atom): -7.521
SG: Pm-3m
Formation energy without anion corrections (meV/atom): -2228

a = 4.2892 Å, b = 4.2892 Å, c = 4.2892 Å
α = 90.00°, β = 90.00°, γ = 90.00°
Each line ends with the local moment (μB).
Fractional positions:
U1 0.0000 0.0000 0.0000  0.46
O1 0.0000 0.0000 0.5000  -0.04
O2 0.5000 0.0000 0.0000  -0.04
O3 0.0000 0.5000 0.0000  -0.04
Hg1 0.5000 0.5000 0.5000  -0.09